1.
MnTcCl2 | meta-GGA SCAN | single point on PBEsol structure

Lattice parameters (Å, degrees): 3.073 3.073 8.000 90.00 90.00 123.97
Fractional positions:
Mn1 0.000 0.000 0.000
Tc1 0.000 0.000 0.500
Cl1 0.500 0.500 0.260
Cl2 0.500 0.500 0.740

Values from the calculation:
Offset from the most stable computed form = 0.000 eV per atom
E_form (uncorrected) = 0.195 eV/atom
E = -68.49 eV per cell
Density = 5.93 g/cm3

2.
MnZn2In | meta-GGA SCAN | single point on PBEsol structure

Lattice parameters (Å, degrees): 2.916 3.812 5.581 90.00 90.00 90.00
Fractional positions:
Mn1 0.000 0.000 0.000
Zn1 0.000 0.000 0.459
Zn2 0.500 0.500 0.231
In1 0.500 0.500 0.746

Values from the calculation:
Formation energy from the elements = 0.18 eV per formula unit
E = -78.49 eV per cell
Density = 8.04 g/cm3

3.
BaZr2CrPd | meta-GGA SCAN | single point on PBEsol structure

Lattice parameters (Å, degrees): 4.710 4.710 5.510 90.00 90.00 90.00
Fractional positions:
Ba1 0.000 0.000 0.000
Zr1 0.000 0.500 0.500
Zr2 0.500 0.000 0.500
Cr1 0.000 0.000 0.500
Pd1 0.500 0.500 0.000

Values from the calculation:
Formation energy from the elements = 3.95 eV per formula unit
E = -148.16 eV per cell
Density = 6.50 g/cm3

Q: What is the formula in the third record?
A: BaZr2CrPd